{"formula": "Cr3CF", "functional": "PBE with a Hubbard U", "state": "relaxed", "cell": [[-2.213, -3.059, -1.932], [2.189, -2.935, 2.140], [-2.881, 0.119, 3.110]], "species": ["Cr", "Cr", "Cr", "F", "C"], "frac_coords": [[0.500, 0.000, 0.000], [0.000, 0.500, 0.000], [0.000, 0.000, 0.500], [0.500, 0.500, 0.500], [0.000, 0.000, 0.000]], "e_above_lowest_polymorph_ev_per_atom": 0.0000, "dos_ef_per_ev_atom": 0.145, "crystal_system": "cubic", "sg": "Pm-3m (221)", "magmom_total_mub_per_cell": 12.879}